Entry 1:
Density functional theory data (PBE) for a geometry-optimized Y3Pt structure.

Lattice parameters (Å, degrees): 3.5873 3.5630 9.2540 90.00 67.22 90.00
Positions (direct):
Pt: 0.0000 0.0000 0.0000
Y: 0.6935 0.5000 0.8061
Y: 0.5000 0.0000 0.5000
Y: 0.3065 0.5000 0.1939

**Formation energy**: -577 meV per atom
**SG**: No. 47

Entry 2:
Density functional theory data (PBE) for a geometry-optimized CsZrF2 structure.

Lattice parameters (Å, degrees): 8.1827 8.1827 8.1827 26.90 26.90 26.90
Positions (direct):
Cs: 0.5000 0.5000 0.5000
Zr: 0.0000 0.0000 0.0000
F: 0.9127 0.9127 0.9127
F: 0.0873 0.0873 0.0873

**E_form (uncorrected)**: -2.12 eV/atom
**Distance to the lowest polymorph of the same formula**: 0.0 meV/atom
**SG**: No. 166

Entry 3:
Density functional theory data (PBE) for a geometry-optimized Li2InSi2 structure.

Lattice parameters (Å, degrees): 7.8484 7.8484 2.8222 90.00 90.00 90.00
Positions (direct):
Si: 0.1812 0.6812 0.5000
Si: 0.6812 0.8188 0.5000
Si: 0.8188 0.3188 0.5000
Si: 0.3188 0.1812 0.5000
Li: 0.3844 0.8844 0.0000
Li: 0.8844 0.6156 0.0000
Li: 0.6156 0.1156 0.0000
Li: 0.1156 0.3844 0.0000
In: 0.0000 0.0000 0.0000
In: 0.5000 0.5000 0.0000

**E_form (uncorrected)**: 0.11 eV/atom
**Distance to the lowest polymorph of the same formula**: 166.8 meV/atom
**SG**: No. 127

Entry 4:
Density functional theory data (PBE) for a geometry-optimized LaRu2Au structure.

Lattice parameters (Å, degrees): 4.6673 3.0218 5.3180 88.03 90.00 90.00
Positions (direct):
Au: 0.5000 0.2500 0.2500
La: 0.5000 0.7500 0.7500
Ru: 0.0000 0.9933 0.9739
Ru: 0.0000 0.5067 0.5261

**Formation energy**: 279 meV per atom
**Distance to the lowest polymorph of the same formula**: 194.9 meV/atom
**SG**: No. 10

Entry 5:
Density functional theory data (PBE) for a geometry-optimized Tb6Dy4Pu structure.

Lattice parameters (Å, degrees): 3.5238 11.7131 17.3194 90.00 90.00 98.65
Positions (direct):
Tb: 0.5000 0.0000 0.0000
Tb: 0.5000 0.0000 0.5000
Tb: 0.0109 0.0218 0.3392
Tb: 0.9891 0.9782 0.6608
Tb: 0.9891 0.9782 0.8392
Tb: 0.0109 0.0218 0.1608
Tb: 0.7587 0.5173 0.4175
Tb: 0.2413 0.4827 0.5825
Tb: 0.2413 0.4827 0.9175
Tb: 0.7587 0.5173 0.0825
Tb: 0.2478 0.4955 0.2500
Tb: 0.7522 0.5045 0.7500
Dy: 0.8703 0.7406 0.5492
Dy: 0.3817 0.7633 0.1402
Dy: 0.1297 0.2594 0.4508
Dy: 0.6183 0.2367 0.8598
Dy: 0.8703 0.7406 0.9508
Dy: 0.1297 0.2594 0.0492
Dy: 0.6183 0.2367 0.6402
Dy: 0.3817 0.7633 0.3598
Pu: 0.6239 0.2478 0.2500
Pu: 0.3761 0.7522 0.7500

**Formation energy**: 167 meV per atom
**SG**: No. 63

Entry 6:
Density functional theory data (PBE) for a geometry-optimized ReAg2PN structure.

Lattice parameters (Å, degrees): 4.1645 4.3734 4.1645 90.00 90.00 90.00
Positions (direct):
Re: 0.5000 0.5000 0.5000
N: 0.0000 0.0000 0.0000
Ag: 0.0000 0.0000 0.5000
Ag: 0.5000 0.0000 0.0000
P: 0.0000 0.5000 0.0000

**E_form (uncorrected)**: 1.45 eV/atom
**SG**: No. 123

Entry 7:
Density functional theory data (PBE) for a geometry-optimized Ca2SmIn structure.

Lattice parameters (Å, degrees): 3.6925 3.6925 11.6992 80.92 80.92 60.00
Positions (direct):
Ca: 0.0747 0.0747 0.7759
Ca: 0.2583 0.2583 0.2250
Sm: 0.5005 0.5005 0.4984
In: 0.6664 0.6664 0.0007

**Formation energy**: -90 meV per atom
**Distance to the lowest polymorph of the same formula**: 145.7 meV/atom
**SG**: No. 160

Entry 8:
Density functional theory data (PBE) for a geometry-optimized HfAlAg structure.

Lattice parameters (Å, degrees): 3.0502 3.0502 6.2579 104.11 104.11 90.00
Positions (direct):
Hf: 0.0079 0.0079 0.0158
Al: 0.6711 0.6711 0.3422
Ag: 0.3210 0.3210 0.6420

**Formation energy**: -207 meV per atom
**SG**: No. 107

| no. | density of states at the Fermi level (states/eV/cell) | raw total energy (eV/atom) | V (Å³ per cell) |
| --- | --- | --- | --- |
| 1 | 5.5 | -6.9356 | 109.1 |
| 2 | 1.3 | -5.4096 | 98.9 |
| 3 | 3.5 | -3.3773 | 173.8 |
| 4 | 5.0 | -6.4097 | 75.0 |
| 5 | 40.6 | -5.3348 | 706.7 |
| 6 | 3.2 | -4.9273 | 75.9 |
| 7 | 5.0 | -2.9547 | 135.8 |
| 8 | 1.6 | -5.7232 | 54.7 |